Here is crystalline SrIrPt2 at its relaxed geometry from Alexandria. Energies are from PBE.

Calculated values
- Total moment: 0.00 Bohr magnetons per cell
- Energy above the lowest structure with this stoichiometry: 2.25 kcal/mol of atoms
- D(E_F): 4.438 states/eV per cell
- V: 80.0 Å³/cell

Cell and atoms, written as CIF:
```
data_SrIrPt2
_chemical_formula_sum 'Sr1 Ir1 Pt2'
_space_group_name_H-M_alt 'P 1'
_space_group_IT_number 1
_space_group_name_Hall 'P 1'
_cell_length_a 4.697
_cell_length_b 4.697
_cell_length_c 6.182
_cell_angle_alpha 81.93
_cell_angle_beta 81.93
_cell_angle_gamma 36.39
loop_
_atom_site_label
_atom_site_fract_x
_atom_site_fract_y
_atom_site_fract_z
Pt1 0.011 0.011 0.932
Pt2 0.489 0.489 0.568
Sr1 0.250 0.250 0.250
Ir1 0.750 0.750 0.750
```


Here is crystalline Ba4PrDyCu6O14 at its relaxed geometry from Alexandria. Energies are from PBE.

Calculated values
- Total moment: 0.00 Bohr magnetons per cell
- D(E_F): 10.006 states/eV per cell
- V: 361.9 Å³/cell
- Formation energy (no corrections): -1.788 eV per atom

Cell and atoms, written as CIF:
```
data_Ba4PrDyCu6O14
_chemical_formula_sum 'Ba4 Pr1 Dy1 Cu6 O14'
_space_group_name_H-M_alt 'P 1'
_space_group_IT_number 1
_space_group_name_Hall 'P 1'
_cell_length_a 3.867
_cell_length_b 3.937
_cell_length_c 23.770
_cell_angle_alpha 90.00
_cell_angle_beta 90.00
_cell_angle_gamma 90.00
loop_
_atom_site_label
_atom_site_fract_x
_atom_site_fract_y
_atom_site_fract_z
O1 0.500 0.000 0.935
O2 0.000 0.000 0.173
O3 0.000 0.500 0.934
O4 0.000 0.500 0.066
O5 0.500 0.000 0.560
O6 0.000 0.000 0.331
O7 0.000 0.500 0.560
O8 0.500 0.000 0.065
O9 0.000 0.000 0.827
O10 0.000 0.500 0.748
O11 0.000 0.000 0.669
O12 0.500 0.000 0.440
O13 0.000 0.500 0.440
O14 0.000 0.500 0.252
Pr1 0.500 0.500 0.000
Ba1 0.500 0.500 0.658
Ba2 0.500 0.500 0.162
Ba3 0.500 0.500 0.342
Ba4 0.500 0.500 0.838
Dy1 0.500 0.500 0.500
Cu1 0.000 0.000 0.078
Cu2 0.000 0.000 0.748
Cu3 0.000 0.000 0.427
Cu4 0.000 0.000 0.573
Cu5 0.000 0.000 0.922
Cu6 0.000 0.000 0.252
```


Here is crystalline Tb4Pm5In at its relaxed geometry from Alexandria. Energies are from PBE.

Calculated values
- Total moment: 0.00 Bohr magnetons per cell
- Energy above the lowest structure with this stoichiometry: 2.94 kcal/mol of atoms
- D(E_F): 13.415 states/eV per cell
- V: 337.7 Å³/cell

Cell and atoms, written as CIF:
```
data_Tb4Pm5In
_chemical_formula_sum 'Tb4 Pm5 In1'
_space_group_name_H-M_alt 'P 1'
_space_group_IT_number 1
_space_group_name_Hall 'P 1'
_cell_length_a 5.966
_cell_length_b 8.093
_cell_length_c 8.093
_cell_angle_alpha 82.19
_cell_angle_beta 68.37
_cell_angle_gamma 68.37
loop_
_atom_site_label
_atom_site_fract_x
_atom_site_fract_y
_atom_site_fract_z
Pm1 0.140 0.000 0.626
Pm2 0.765 0.000 0.374
Pm3 0.671 0.000 0.000
Pm4 0.140 0.626 0.000
Pm5 0.765 0.374 0.000
Tb1 0.143 0.316 0.316
Tb2 0.775 0.684 0.684
Tb3 0.459 0.316 0.684
Tb4 0.459 0.684 0.316
In1 0.192 0.000 0.000
```


Here is crystalline Hf3BCl at its relaxed geometry from Alexandria. Energies are from PBE.

Calculated values
- Total moment: 0.00 Bohr magnetons per cell
- Energy above the lowest structure with this stoichiometry: 0.00 kcal/mol of atoms
- D(E_F): 5.094 states/eV per cell
- V: 99.5 Å³/cell
- Formation energy (no corrections): 0.226 eV per atom

Cell and atoms, written as CIF:
```
data_Hf3BCl
_chemical_formula_sum 'Hf3 B1 Cl1'
_space_group_name_H-M_alt 'P 1'
_space_group_IT_number 1
_space_group_name_Hall 'P 1'
_cell_length_a 4.634
_cell_length_b 4.634
_cell_length_c 4.634
_cell_angle_alpha 90.00
_cell_angle_beta 90.00
_cell_angle_gamma 90.00
loop_
_atom_site_label
_atom_site_fract_x
_atom_site_fract_y
_atom_site_fract_z
Cl1 0.500 0.500 0.500
B1 0.000 0.000 0.000
Hf1 0.500 0.000 0.000
Hf2 0.000 0.000 0.500
Hf3 0.000 0.500 0.000
```


Here is crystalline ZrAl at its relaxed geometry from Alexandria. Energies are from PBE.

Calculated values
- Total energy: -4.777 eV/atom
- Total moment: 0.00 Bohr magnetons per cell
- D(E_F): 11.644 states/eV per cell
- V: 453.7 Å³/cell

Cell and atoms, written as CIF:
```
data_ZrAl
_chemical_formula_sum 'Zr6 Al6'
_space_group_name_H-M_alt 'P 1'
_space_group_IT_number 1
_space_group_name_Hall 'P 1'
_cell_length_a 7.684
_cell_length_b 7.684
_cell_length_c 7.684
_cell_angle_alpha 90.00
_cell_angle_beta 90.00
_cell_angle_gamma 90.00
loop_
_atom_site_label
_atom_site_fract_x
_atom_site_fract_y
_atom_site_fract_z
Zr1 0.000 0.750 0.500
Zr2 0.500 0.000 0.250
Zr3 0.000 0.250 0.500
Zr4 0.750 0.500 0.000
Zr5 0.500 0.000 0.750
Zr6 0.250 0.500 0.000
Al1 0.000 0.500 0.750
Al2 0.500 0.250 0.000
Al3 0.250 0.000 0.500
Al4 0.500 0.750 0.000
Al5 0.000 0.500 0.250
Al6 0.750 0.000 0.500
```


Here is crystalline Li6Mg5Tl at its relaxed geometry from Alexandria. Energies are from PBE.

Calculated values
- Total moment: 0.00 Bohr magnetons per cell
- Energy above the lowest structure with this stoichiometry: 0.00 kcal/mol of atoms
- D(E_F): 4.373 states/eV per cell
- V: 238.2 Å³/cell

Cell and atoms, written as CIF:
```
data_Li6Mg5Tl
_chemical_formula_sum 'Li6 Mg5 Tl1'
_space_group_name_H-M_alt 'P 1'
_space_group_IT_number 1
_space_group_name_Hall 'P 1'
_cell_length_a 8.449
_cell_length_b 4.776
_cell_length_c 7.532
_cell_angle_alpha 71.51
_cell_angle_beta 79.71
_cell_angle_gamma 55.73
loop_
_atom_site_label
_atom_site_fract_x
_atom_site_fract_y
_atom_site_fract_z
Mg1 0.000 0.667 0.667
Mg2 0.500 0.169 0.662
Mg3 0.500 0.500 0.000
Mg4 0.500 0.831 0.338
Mg5 0.000 0.333 0.333
Li1 0.245 0.919 0.672
Li2 0.756 0.744 0.000
Li3 0.245 0.591 0.328
Li4 0.244 0.256 0.000
Li5 0.755 0.409 0.672
Li6 0.755 0.081 0.328
Tl1 0.000 0.000 0.000
```


Here is crystalline PmY2Si2Pt7 at its relaxed geometry from Alexandria. Energies are from PBE.

Calculated values
- Total moment: 0.00 Bohr magnetons per cell
- D(E_F): 5.236 states/eV per cell
- V: 226.6 Å³/cell
- Formation energy (no corrections): -1.077 eV per atom

Cell and atoms, written as CIF:
```
data_PmY2Si2Pt7
_chemical_formula_sum 'Pm1 Y2 Si2 Pt7'
_space_group_name_H-M_alt 'P 1'
_space_group_IT_number 1
_space_group_name_Hall 'P 1'
_cell_length_a 4.071
_cell_length_b 4.071
_cell_length_c 13.838
_cell_angle_alpha 83.79
_cell_angle_beta 83.79
_cell_angle_gamma 89.32
loop_
_atom_site_label
_atom_site_fract_x
_atom_site_fract_y
_atom_site_fract_z
Pt1 0.562 0.062 0.834
Pt2 0.500 0.500 0.000
Pt3 0.062 0.562 0.834
Pt4 0.633 0.633 0.571
Pt5 0.438 0.938 0.166
Pt6 0.367 0.367 0.429
Pt7 0.938 0.438 0.166
Y1 0.116 0.116 0.642
Y2 0.884 0.884 0.358
Pm1 0.000 0.000 0.000
Si1 0.404 0.404 0.260
Si2 0.596 0.596 0.740
```


Here is crystalline BaZnFe3 at its relaxed geometry from Alexandria. Energies are from PBE.

Calculated values
- Total energy: -3.420 eV/atom
- Total moment: 7.25 Bohr magnetons per cell
- D(E_F): 7.667 states/eV per cell
- V: 120.6 Å³/cell

Cell and atoms, written as CIF:
```
data_BaZnFe3
_chemical_formula_sum 'Ba1 Zn1 Fe3'
_space_group_name_H-M_alt 'P 1'
_space_group_IT_number 1
_space_group_name_Hall 'P 1'
_cell_length_a 4.941
_cell_length_b 4.941
_cell_length_c 4.941
_cell_angle_alpha 90.00
_cell_angle_beta 90.00
_cell_angle_gamma 90.00
loop_
_atom_site_label
_atom_site_fract_x
_atom_site_fract_y
_atom_site_fract_z
Ba1 0.000 0.000 0.000
Fe1 0.000 0.000 0.500
Fe2 0.500 0.000 0.000
Fe3 0.000 0.500 0.000
Zn1 0.500 0.500 0.500
```


Here is crystalline Zn2FeBr at its relaxed geometry from Alexandria. Energies are from PBE.

Calculated values
- Total moment: 2.47 Bohr magnetons per cell
- Energy above the lowest structure with this stoichiometry: 1.38 kcal/mol of atoms
- D(E_F): 2.897 states/eV per cell
- V: 77.0 Å³/cell
- Formation energy (no corrections): 0.188 eV per atom

Cell and atoms, written as CIF:
```
data_Zn2FeBr
_chemical_formula_sum 'Zn2 Fe1 Br1'
_space_group_name_H-M_alt 'P 1'
_space_group_IT_number 1
_space_group_name_Hall 'P 1'
_cell_length_a 3.214
_cell_length_b 3.628
_cell_length_c 6.605
_cell_angle_alpha 89.62
_cell_angle_beta 90.00
_cell_angle_gamma 90.00
loop_
_atom_site_label
_atom_site_fract_x
_atom_site_fract_y
_atom_site_fract_z
Zn1 0.000 0.998 0.960
Zn2 0.500 0.495 0.190
Fe1 0.500 0.500 0.827
Br1 0.000 0.506 0.523
```


Here is crystalline Tb5DyErIn2 at its relaxed geometry from Alexandria. Energies are from PBE.

Calculated values
- Total energy: -4.201 eV/atom
- Total moment: 0.00 Bohr magnetons per cell
- D(E_F): 23.406 states/eV per cell
- V: 566.1 Å³/cell

Cell and atoms, written as CIF:
```
data_Tb5DyErIn2
_chemical_formula_sum 'Tb10 Dy2 Er2 In4'
_space_group_name_H-M_alt 'P 1'
_space_group_IT_number 1
_space_group_name_Hall 'P 1'
_cell_length_a 7.654
_cell_length_b 7.654
_cell_length_c 11.077
_cell_angle_alpha 110.21
_cell_angle_beta 110.21
_cell_angle_gamma 90.00
loop_
_atom_site_label
_atom_site_fract_x
_atom_site_fract_y
_atom_site_fract_z
Er1 0.250 0.750 0.500
Er2 0.750 0.250 0.500
Tb1 0.076 0.576 0.750
Tb2 0.327 0.827 0.250
Tb3 0.173 0.076 0.750
Tb4 0.924 0.424 0.250
Tb5 0.576 0.673 0.750
Tb6 0.827 0.924 0.250
Tb7 0.673 0.173 0.750
Tb8 0.000 0.000 0.000
Tb9 0.424 0.327 0.250
Tb10 0.500 0.500 0.000
Dy1 0.250 0.250 0.500
Dy2 0.750 0.750 0.500
In1 0.377 0.877 0.000
In2 0.877 0.623 0.000
In3 0.623 0.123 0.000
In4 0.123 0.377 0.000
```


Here is crystalline Tm2CdCoC at its relaxed geometry from Alexandria. Energies are from PBE.

Calculated values
- Total energy: -5.590 eV/atom
- Total moment: 0.00 Bohr magnetons per cell
- D(E_F): 2.962 states/eV per cell
- V: 91.0 Å³/cell

Cell and atoms, written as CIF:
```
data_Tm2CdCoC
_chemical_formula_sum 'Tm2 Cd1 Co1 C1'
_space_group_name_H-M_alt 'P 1'
_space_group_IT_number 1
_space_group_name_Hall 'P 1'
_cell_length_a 3.680
_cell_length_b 4.972
_cell_length_c 4.972
_cell_angle_alpha 90.00
_cell_angle_beta 90.00
_cell_angle_gamma 90.00
loop_
_atom_site_label
_atom_site_fract_x
_atom_site_fract_y
_atom_site_fract_z
Co1 0.500 0.000 0.000
C1 0.000 0.000 0.000
Tm1 0.000 0.500 0.000
Tm2 0.000 0.000 0.500
Cd1 0.500 0.500 0.500
```


Here is crystalline AcCe2SnO8 at its relaxed geometry from Alexandria. Energies are from PBE.

Calculated values
- Total moment: 1.08 Bohr magnetons per cell
- D(E_F): 7.585 states/eV per cell
- V: 170.3 Å³/cell
- Formation energy (no corrections): -2.666 eV per atom

Cell and atoms, written as CIF:
```
data_AcCe2SnO8
_chemical_formula_sum 'Ac1 Ce2 Sn1 O8'
_space_group_name_H-M_alt 'P 1'
_space_group_IT_number 1
_space_group_name_Hall 'P 1'
_cell_length_a 4.066
_cell_length_b 5.550
_cell_length_c 7.556
_cell_angle_alpha 90.00
_cell_angle_beta 90.00
_cell_angle_gamma 92.50
loop_
_atom_site_label
_atom_site_fract_x
_atom_site_fract_y
_atom_site_fract_z
O1 0.501 0.730 0.500
O2 0.034 0.750 0.783
O3 0.553 0.762 0.000
O4 0.447 0.238 0.000
O5 0.966 0.250 0.783
O6 0.034 0.750 0.217
O7 0.499 0.270 0.500
O8 0.966 0.250 0.217
Ce1 0.500 0.500 0.755
Ce2 0.500 0.500 0.245
Sn1 0.000 0.000 0.000
Ac1 0.000 0.000 0.500
```


Here is crystalline BiSb2AsPt at its relaxed geometry from Alexandria. Energies are from PBE.

Calculated values
- Total moment: 0.00 Bohr magnetons per cell
- D(E_F): 4.240 states/eV per cell
- V: 149.1 Å³/cell
- Formation energy (no corrections): 0.505 eV per atom

Cell and atoms, written as CIF:
```
data_BiSb2AsPt
_chemical_formula_sum 'Bi1 Sb2 As1 Pt1'
_space_group_name_H-M_alt 'P 1'
_space_group_IT_number 1
_space_group_name_Hall 'P 1'
_cell_length_a 5.155
_cell_length_b 5.612
_cell_length_c 5.155
_cell_angle_alpha 90.00
_cell_angle_beta 90.00
_cell_angle_gamma 90.00
loop_
_atom_site_label
_atom_site_fract_x
_atom_site_fract_y
_atom_site_fract_z
Bi1 0.000 0.500 0.000
Sb1 0.500 0.000 0.000
Sb2 0.000 0.000 0.500
Pt1 0.000 0.000 0.000
As1 0.500 0.500 0.500
```


Here is crystalline Tb3Pr6DyY2 at its relaxed geometry from Alexandria. Energies are from PBE.

Calculated values
- Total energy: -4.999 eV/atom
- Total moment: 0.00 Bohr magnetons per cell
- D(E_F): 13.765 states/eV per cell
- V: 407.0 Å³/cell

Cell and atoms, written as CIF:
```
data_Tb3Pr6DyY2
_chemical_formula_sum 'Tb3 Pr6 Dy1 Y2'
_space_group_name_H-M_alt 'P 1'
_space_group_IT_number 1
_space_group_name_Hall 'P 1'
_cell_length_a 6.326
_cell_length_b 6.326
_cell_length_c 11.932
_cell_angle_alpha 95.05
_cell_angle_beta 95.05
_cell_angle_gamma 120.00
loop_
_atom_site_label
_atom_site_fract_x
_atom_site_fract_y
_atom_site_fract_z
Tb1 0.167 0.833 0.500
Tb2 0.500 0.500 0.500
Tb3 0.833 0.167 0.500
Pr1 0.916 0.584 0.750
Pr2 0.084 0.416 0.250
Pr3 0.584 0.916 0.750
Pr4 0.416 0.084 0.250
Pr5 0.751 0.751 0.250
Pr6 0.249 0.249 0.750
Dy1 0.000 0.000 0.000
Y1 0.333 0.667 0.000
Y2 0.667 0.333 0.000
```


Here is crystalline MgAl2Cd at its relaxed geometry from Alexandria. Energies are from PBE.

Calculated values
- Total energy: -2.447 eV/atom
- Total moment: 0.00 Bohr magnetons per cell
- D(E_F): 0.953 states/eV per cell
- V: 78.4 Å³/cell

Cell and atoms, written as CIF:
```
data_MgAl2Cd
_chemical_formula_sum 'Mg1 Al2 Cd1'
_space_group_name_H-M_alt 'P 1'
_space_group_IT_number 1
_space_group_name_Hall 'P 1'
_cell_length_a 3.115
_cell_length_b 3.115
_cell_length_c 8.084
_cell_angle_alpha 90.00
_cell_angle_beta 90.00
_cell_angle_gamma 90.00
loop_
_atom_site_label
_atom_site_fract_x
_atom_site_fract_y
_atom_site_fract_z
Al1 0.500 0.500 0.229
Al2 0.000 0.000 0.016
Mg1 0.500 0.500 0.764
Cd1 0.000 0.000 0.491
```


Here is crystalline ZnHgBr2 at its relaxed geometry from Alexandria. Energies are from PBE.

Calculated values
- Total moment: 0.00 Bohr magnetons per cell
- Energy above the lowest structure with this stoichiometry: 3.07 kcal/mol of atoms
- D(E_F): 0.000 states/eV per cell
- V: 145.5 Å³/cell
- Formation energy (no corrections): -0.494 eV per atom

Cell and atoms, written as CIF:
```
data_ZnHgBr2
_chemical_formula_sum 'Zn1 Hg1 Br2'
_space_group_name_H-M_alt 'P 1'
_space_group_IT_number 1
_space_group_name_Hall 'P 1'
_cell_length_a 6.818
_cell_length_b 6.818
_cell_length_c 6.818
_cell_angle_alpha 149.37
_cell_angle_beta 113.68
_cell_angle_gamma 74.81
loop_
_atom_site_label
_atom_site_fract_x
_atom_site_fract_y
_atom_site_fract_z
Br1 0.411 0.411 0.000
Br2 0.089 0.089 0.000
Zn1 0.250 0.750 0.500
Hg1 0.750 0.250 0.500
```


Here is crystalline Li3HIr at its relaxed geometry from Alexandria. Energies are from PBE.

Calculated values
- Total moment: 1.00 Bohr magnetons per cell
- Energy above the lowest structure with this stoichiometry: 16.02 kcal/mol of atoms
- D(E_F): 2.029 states/eV per cell
- V: 111.0 Å³/cell

Cell and atoms, written as CIF:
```
data_Li3HIr
_chemical_formula_sum 'Li3 H1 Ir1'
_space_group_name_H-M_alt 'P 1'
_space_group_IT_number 1
_space_group_name_Hall 'P 1'
_cell_length_a 4.806
_cell_length_b 4.806
_cell_length_c 4.806
_cell_angle_alpha 90.00
_cell_angle_beta 90.00
_cell_angle_gamma 90.00
loop_
_atom_site_label
_atom_site_fract_x
_atom_site_fract_y
_atom_site_fract_z
H1 0.500 0.500 0.500
Ir1 0.000 0.000 0.000
Li1 0.000 0.000 0.500
Li2 0.500 0.000 0.000
Li3 0.000 0.500 0.000
```